No. 1
## Zr2AlPd (GGA-PBE)

Data for a relaxed Zr2AlPd crystal.

Properties
Uncorrected energy: -7.036 eV/atom
Energy of formation from the pure elements: -0.53 eV/atom

a = 3.0590 Å, b = 3.0590 Å, c = 8.0619 Å
α = 90.00°, β = 90.00°, γ = 90.00°
Closest atoms and distances in Å follow each position.
Space group P4/mmm (No. 123)
Symmetry-distinct sites (fractional):
Zr 0.0000 0.0000 0.2463  4 Pd 2.94, 4 Al 2.98, 4 Zr 3.06
Al 0.5000 0.5000 0.5000  8 Zr 2.98, 4 Al 3.06
Pd 0.5000 0.5000 0.0000  8 Zr 2.94, 4 Pd 3.06


No. 2
## ZrAl3Pd4 (GGA-PBE)

Data for a relaxed ZrAl3Pd4 crystal.

Properties
Uncorrected energy: -5.873 eV/atom
Energy of formation from the pure elements: -0.80 eV/atom

a = 4.3499 Å, b = 4.3499 Å, c = 23.3369 Å
α = 90.00°, β = 90.00°, γ = 120.00°
Closest atoms and distances in Å follow each position.
Space group R-3m (No. 166, hexagonal axes)
Symmetry-distinct sites (fractional):
Zr 0.0000 0.0000 0.0000  8 Pd 2.87-3.03, 6 Al 3.18
Al 0.0000 0.0000 0.2494  7 Pd 2.57-2.79
Al 0.0000 0.0000 0.5000  8 Pd 2.50-2.65
Pd 0.0000 0.0000 0.1299  7 Al 2.65-2.79
Pd 0.0000 0.0000 0.3930  4 Al 2.50-2.57


No. 3
## ZrAlPd2 (GGA-PBE)

Data for a relaxed ZrAlPd2 crystal.

Properties
Uncorrected energy: -5.988 eV/atom
Energy of formation from the pure elements: -0.32 eV/atom

a = 4.0878 Å, b = 4.0878 Å, c = 17.7613 Å
α = 90.00°, β = 90.00°, γ = 90.00°
Closest atoms and distances in Å follow each position.
Space group I-42d (No. 122)
Symmetry-distinct sites (fractional):
Zr 0.0000 0.0000 0.0000  4 Pd 2.68, 4 Al 2.89
Al 0.0000 0.0000 0.5000  4 Pd 2.62, 4 Zr 2.89
Pd 0.2286 0.2500 0.6250  2 Al 2.62, 2 Zr 2.68, 2 Pd 2.77


No. 4
## ZrAlPd2 (GGA-PBE)

Data for a relaxed ZrAlPd2 crystal.

Properties
Uncorrected energy: -6.326 eV/atom
Energy of formation from the pure elements: -0.66 eV/atom

a = 4.7299 Å, b = 4.7299 Å, c = 3.0198 Å
α = 90.00°, β = 90.00°, γ = 90.00°
Closest atoms and distances in Å follow each position.
Space group P4/mmm (No. 123)
Symmetry-distinct sites (fractional):
Zr 0.0000 0.0000 0.0000  8 Pd 2.81, 2 Zr 3.02
Al 0.5000 0.5000 0.0000  8 Pd 2.81, 2 Al 3.02
Pd 0.0000 0.5000 0.5000  4 Zr 2.81, 4 Al 2.81, 2 Pd 3.02


No. 5
## Zr2Al2Pd (GGA-PBE)

Data for a relaxed Zr2Al2Pd crystal.

Properties
Excess energy over the best structure of this formula in the dataset: 0.546 eV per atom
Uncorrected energy: -6.037 eV/atom
Energy of formation from the pure elements: -0.08 eV/atom

a = 3.5439 Å, b = 3.5439 Å, c = 15.9538 Å
α = 90.00°, β = 90.00°, γ = 90.00°
Closest atoms and distances in Å follow each position.
Space group I4/mmm (No. 139)
Symmetry-distinct sites (fractional):
Zr 0.0000 0.0000 0.0998  4 Pd 2.97, 4 Al 2.98, 1 Zr 3.18
Al 0.0000 0.5000 0.2500  4 Al 2.51
Pd 0.0000 0.0000 0.5000  8 Zr 2.97


No. 6
## ZrAl2Pd (GGA-PBE)

Data for a relaxed ZrAl2Pd crystal.

Properties
Uncorrected energy: -5.774 eV/atom
Energy of formation from the pure elements: -0.47 eV/atom

a = 6.4679 Å, b = 6.4679 Å, c = 6.4679 Å
α = 90.00°, β = 90.00°, γ = 90.00°
Closest atoms and distances in Å follow each position.
Space group Fm-3m (No. 225)
Symmetry-distinct sites (fractional):
Zr 0.0000 0.0000 0.0000  8 Al 2.80
Al 0.2500 0.2500 0.2500  4 Zr 2.80, 4 Pd 2.80
Pd 0.0000 0.0000 0.5000  8 Al 2.80


No. 7
## ZrAlPd (GGA-PBE)

Data for a relaxed ZrAlPd crystal.

Properties
Uncorrected energy: -6.508 eV/atom
Energy of formation from the pure elements: -0.68 eV/atom

a = 10.0603 Å, b = 4.2562 Å, c = 6.5559 Å
α = 90.00°, β = 129.60°, γ = 90.00°
Closest atoms and distances in Å follow each position.
Space group C2/m (No. 12)
Symmetry-distinct sites (fractional):
Zr 0.0532 0.0000 0.3096  5 Pd 2.83-3.06, 5 Al 2.99-3.13
Al 0.1640 0.5000 0.0935  3 Pd 2.50-2.61, 1 Al 2.69
Pd 0.1699 0.5000 0.7012  3 Al 2.50-2.61, 1 Pd 2.67


No. 8
## ZrAl2Pd (GGA-PBE)

Data for a relaxed ZrAl2Pd crystal.

Properties
Uncorrected energy: -6.017 eV/atom
Energy of formation from the pure elements: -0.71 eV/atom

a = 6.5169 Å, b = 4.2177 Å, c = 10.0158 Å
α = 90.00°, β = 90.00°, γ = 90.00°
Closest atoms and distances in Å follow each position.
Space group Pnma (No. 62)
Symmetry-distinct sites (fractional):
Zr 0.2402 0.2500 0.1737  7 Al 2.89-2.99, 3 Pd 2.99-3.08
Al 0.0629 0.2500 0.8359  2 Pd 2.53-2.54, 3 Al 2.68-2.75
Al 0.2234 0.7500 0.9629  3 Pd 2.59-2.60, 3 Al 2.68-2.75
Pd 0.0631 0.7500 0.4036  5 Al 2.53-2.60


No. 9
## Zr3Al2Pd6 (GGA-PBE)

Data for a relaxed Zr3Al2Pd6 crystal.

Properties
Uncorrected energy: -6.510 eV/atom
Energy of formation from the pure elements: -0.67 eV/atom

a = 9.1584 Å, b = 9.1584 Å, c = 9.1584 Å
α = 90.00°, β = 90.00°, γ = 90.00°
Closest atoms and distances in Å follow each position.
Space group Im-3m (No. 229)
Symmetry-distinct sites (fractional):
Zr 0.0000 0.0000 0.2697  8 Pd 2.98-3.15, 4 Al 3.24
Al 0.2500 0.2500 0.2500  6 Pd 2.55
Pd 0.0000 0.3375 0.3375  2 Al 2.55, 4 Pd 2.65


No. 10
## Zr2AlPd (GGA-PBE)

Data for a relaxed Zr2AlPd crystal.

Properties
Uncorrected energy: -6.830 eV/atom
Energy of formation from the pure elements: -0.32 eV/atom

a = 4.3802 Å, b = 4.3802 Å, c = 14.8424 Å
α = 90.00°, β = 90.00°, γ = 120.00°
Closest atoms and distances in Å follow each position.
Space group R3m (No. 160, hexagonal axes)
Symmetry-distinct sites (fractional):
Zr 0.0000 0.0000 0.0000  3 Al 2.87, 4 Zr 3.02-3.18, 4 Pd 3.11-3.14
Zr 0.0000 0.0000 0.2037  3 Pd 2.81, 1 Zr 3.02, 3 Al 3.03
Al 0.0000 0.0000 0.4241  3 Pd 2.57, 3 Zr 2.87
Pd 0.0000 0.0000 0.7883  3 Al 2.57, 3 Zr 2.81


What is the formula in the first record?
Zr2AlPd


Which value of uncorrected energy does entry 1 give?
-7.036 eV/atom


What is the formula in the tenth record?
Zr2AlPd